Entry from Alexandria: crystalline CdAg5S4 at its relaxed geometry (GGA-PBE).

Unit cell a=8.3183 b=8.4899 c=6.1619 alpha=90.00 beta=90.00 gamma=90.00
Atoms (fractional coordinates):
Cd 0.2500 0.2500 0.2486
Cd 0.7500 0.7500 0.7514
Ag 0.0709 0.0685 0.7831
Ag 0.0709 0.4315 0.7831
Ag 0.2500 0.7500 0.7395
Ag 0.4291 0.0685 0.7831
Ag 0.4291 0.4315 0.7831
Ag 0.5709 0.5685 0.2169
Ag 0.5709 0.9315 0.2169
Ag 0.7500 0.2500 0.2605
Ag 0.9291 0.5685 0.2169
Ag 0.9291 0.9315 0.2169
S 0.0013 0.2500 0.4872
S 0.2500 0.5321 0.0726
S 0.2500 0.9679 0.0726
S 0.4987 0.2500 0.4872
S 0.5013 0.7500 0.5128
S 0.7500 0.0321 0.9274
S 0.7500 0.4679 0.9274
S 0.9987 0.7500 0.5128

ΔE_f (raw) ... -88 meV per atom

---

Entry from Alexandria: crystalline CdAg3S at its relaxed geometry (GGA-PBE).

Unit cell a=5.1375 b=5.1375 c=5.1375 alpha=90.00 beta=90.00 gamma=90.00
Atoms (fractional coordinates):
Cd 0.0000 0.0000 0.0000
Ag 0.0000 0.0000 0.5000
Ag 0.0000 0.5000 0.0000
Ag 0.5000 0.0000 0.0000
S 0.5000 0.5000 0.5000

ΔE_f (raw) ... 872 meV per atom

---

Entry from Alexandria: crystalline Cd2AgS at its relaxed geometry (GGA-PBE).

Unit cell a=7.1822 b=7.1822 c=7.3551 alpha=90.00 beta=90.00 gamma=90.00
Atoms (fractional coordinates):
Cd 0.2268 0.7500 0.1250
Cd 0.2500 0.2268 0.8750
Cd 0.2500 0.2732 0.3750
Cd 0.2732 0.7500 0.6250
Cd 0.7268 0.2500 0.6250
Cd 0.7500 0.7268 0.3750
Cd 0.7500 0.7732 0.8750
Cd 0.7732 0.2500 0.1250
Ag 0.0000 0.0000 0.5000
Ag 0.0000 0.5000 0.7500
Ag 0.5000 0.0000 0.2500
Ag 0.5000 0.5000 0.0000
S 0.0000 0.0000 0.0000
S 0.0000 0.5000 0.2500
S 0.5000 0.0000 0.7500
S 0.5000 0.5000 0.5000

ΔE_f (raw) ... 24 meV per atom